This record from Alexandria describes crystalline ZrSiAs2 at its relaxed geometry. The functional is GGA-PBE.

Lattice parameters (Å, degrees): 4.748 4.748 4.748 60.00 60.00 60.00
Fractional positions:
Zr1 0.000 0.000 0.000
Si1 0.500 0.500 0.500
As1 0.250 0.250 0.250
As2 0.750 0.750 0.750

Calculated values
The calculation puts the raw total energy at -0.4268 Ry/atom. Its crystal system is cubic. The symmetry is Fm-3m (225). For the uncorrected formation energy, the calculation gives 0.0113 eV/atom. Its excess energy over the best structure of this formula in the dataset is 645 meV/atom.